The following is a DFT calculation (PBE-GGA) of a relaxed PuRh4Pb crystal.

```
PuRh4Pb
1.0
0.000 3.770 3.770
3.770 0.000 3.770
3.770 3.770 0.000
Pu Rh Pb
1 4 1
direct
0.000 0.000 0.000
0.375 0.375 0.375
0.375 0.375 0.874
0.375 0.874 0.375
0.874 0.375 0.375
0.750 0.750 0.750
```

The calculated total energy comes out at -8.17 eV/atom. For the calculated formation energy, the calculation gives -264.8 meV per atom. The calculation puts the density of states at the Fermi level at 12.90 states/eV per cell.